Here is a relaxed structure of Al2NiRu from Alexandria. Energies are from GGA-PBEsol.

Properties
electronic total energy: -0.2505 hartree per atom
formation enthalpy at 0 K: -0.689 eV/atom

POSCAR file:
```
Al2NiRu
1.0
-2.6871 1.2527 0.1813
-0.7095 -1.1382 -2.6502
-2.0025 -4.6631 2.5388
Ru Al Ni
1 2 1
direct
0.5000 0.5000 0.5000
0.0000 0.0000 0.7508
0.0000 0.0000 0.2492
0.5000 0.5000 0.0000
```